The following is a DFT calculation (PBE) of a relaxed TeMoWSe2S crystal.

Computed properties:
magnetization	0.000	μB/cell
energy above the lowest structure with this stoichiometry	12	kJ/mol of formula units
Fermi-level density of states	0.038	states/eV/atom
raw total energy	-82.35	eV for the cell shown
ΔE_f (raw)	-526	meV/atom

```
data_TeMoWSe2S
_chemical_formula_sum 'Te2 Mo2 W2 Se4 S2'
_space_group_name_H-M_alt 'P 3 m 1'
_space_group_IT_number 156
_space_group_name_Hall 'P 3 -2"'
_cell_length_a 3.3423
_cell_length_b 3.3423
_cell_length_c 36.1223
_cell_angle_alpha 90.00
_cell_angle_beta 90.00
_cell_angle_gamma 120.00
loop_
_atom_site_label
_atom_site_fract_x
_atom_site_fract_y
_atom_site_fract_z
Te1 0.0000 0.0000 0.0000
Te2 0.0000 0.0000 0.1057
Mo1 0.0000 0.0000 0.2582
Mo2 0.0000 0.0000 0.8466
W1 0.3333 0.6667 0.0528
W2 0.3333 0.6667 0.4543
Se1 0.3333 0.6667 0.2120
Se2 0.3333 0.6667 0.3043
Se3 0.3333 0.6667 0.8005
Se4 0.3333 0.6667 0.8928
S1 0.0000 0.0000 0.4121
S2 0.0000 0.0000 0.4964
```